(1)
Below is an optimized crystal structure of Tl3HSe, with properties calculated at the GGA-PBE level.

Cell lengths 5.049, 5.049, 5.049 Å; angles 90.00, 90.00, 90.00 degrees
Sites, in units of the cell vectors:
Tl 0.000 0.000 0.500
Tl 0.000 0.500 0.000
Tl 0.500 0.000 0.000
H 0.000 0.000 0.000
Se 0.500 0.500 0.500

* symmetry: Pm-3m (221)
* density of states at the Fermi level: 0.3 states/eV/cell
* E: -13.9 eV/cell
* distance to the lowest polymorph of the same formula: 0.0 meV/atom
* spin magnetization: 0.0 Bohr magnetons per cell
* V: 129 Å³/cell

=====

(2)
Below is an optimized crystal structure of ScTl2AgBr, with properties calculated at the GGA-PBE level.

Cell lengths 5.907, 5.907, 5.100 Å; angles 90.00, 90.00, 90.00 degrees
Sites, in units of the cell vectors:
Sc 0.000 0.000 0.000
Tl 0.000 0.500 0.000
Tl 0.500 0.000 0.000
Ag 0.500 0.500 0.500
Br 0.000 0.000 0.500

* raw formation energy: 0.112 eV/atom
* symmetry: P4/mmm (123)
* density of states at the Fermi level: 3.4 states/eV/cell
* E: -15.0 eV/cell
* spin magnetization: 1.0 Bohr magnetons per cell
* V: 178 Å³/cell

=====

(3)
Below is an optimized crystal structure of ScMnP, with properties calculated at the GGA-PBE level.

Cell lengths 3.314, 7.683, 7.683 Å; angles 129.75, 90.00, 90.00 degrees
Sites, in units of the cell vectors:
Sc 0.000 0.000 0.000
Sc 0.500 0.499 0.810
Sc 0.500 0.810 0.499
Mn 0.500 0.255 0.960
Mn 0.500 0.359 0.359
Mn 0.500 0.960 0.255
P 0.000 0.190 0.474
P 0.000 0.474 0.190
P 0.000 0.605 0.605

* symmetry: Amm2 (38)
* density of states at the Fermi level: 6.0 states/eV/cell
* E: -65.7 eV/cell
* spin magnetization: 5.9 Bohr magnetons per cell
* formation enthalpy at 0 K: -0.335 eV per atom
* V: 150 Å³/cell

=====

(4)
Below is an optimized crystal structure of KSi2Ag, with properties calculated at the GGA-PBE level.

Cell lengths 2.985, 3.651, 7.913 Å; angles 90.00, 90.00, 90.00 degrees
Sites, in units of the cell vectors:
K 0.000 0.000 0.000
Si 0.000 0.000 0.457
Si 0.500 0.500 0.317
Ag 0.500 0.500 0.662

* raw formation energy: 0.313 eV/atom
* symmetry: Pmm2 (25)
* density of states at the Fermi level: 1.8 states/eV/cell
* E: -13.5 eV/cell
* distance to the lowest polymorph of the same formula: 155.7 meV/atom
* spin magnetization: 0.0 Bohr magnetons per cell
* V: 86 Å³/cell

=====

(5)
Below is an optimized crystal structure of SrLiPN2, with properties calculated at the GGA-PBE level.

Cell lengths 5.711, 4.106, 6.420 Å; angles 90.00, 100.89, 90.00 degrees
Sites, in units of the cell vectors:
Sr 0.000 0.244 0.250
Sr 0.000 0.756 0.750
Li 0.500 0.011 0.750
Li 0.500 0.989 0.250
P 0.500 0.500 0.000
P 0.500 0.500 0.500
N 0.274 0.249 0.950
N 0.274 0.751 0.450
N 0.726 0.249 0.550
N 0.726 0.751 0.050

* raw formation energy: -0.324 eV/atom
* symmetry: P2/c (13)
* density of states at the Fermi level: 3.9 states/eV/cell
* E: -54.6 eV/cell
* spin magnetization: 0.0 Bohr magnetons per cell
* V: 148 Å³/cell

=====

(6)
Below is an optimized crystal structure of Rb2AgH, with properties calculated at the GGA-PBE level.

Cell lengths 3.863, 3.863, 8.306 Å; angles 90.00, 90.00, 90.00 degrees
Sites, in units of the cell vectors:
Rb 0.000 0.000 0.214
Rb 0.000 0.000 0.786
Ag 0.500 0.500 0.500
H 0.500 0.500 0.000

* symmetry: P4/mmm (123)
* density of states at the Fermi level: 0.3 states/eV/cell
* E: -8.0 eV/cell
* distance to the lowest polymorph of the same formula: 21.1 meV/atom
* spin magnetization: 0.0 Bohr magnetons per cell
* V: 124 Å³/cell

=====

(7)
Below is an optimized crystal structure of Ce2NdThS4, with properties calculated at the GGA-PBE level.

Cell lengths 6.976, 4.047, 7.000 Å; angles 90.00, 109.57, 90.00 degrees
Sites, in units of the cell vectors:
Ce 0.000 0.000 0.000
Ce 0.000 0.500 0.500
Nd 0.500 0.000 0.500
Th 0.500 0.500 0.000
S 0.248 0.000 0.749
S 0.248 0.500 0.249
S 0.752 0.000 0.251
S 0.752 0.500 0.751

* raw formation energy: -1.993 eV/atom
* symmetry: P2/m (10)
* density of states at the Fermi level: 11.5 states/eV/cell
* E: -56.5 eV/cell
* spin magnetization: 1.3 Bohr magnetons per cell
* V: 186 Å³/cell

=====

(8)
Below is an optimized crystal structure of SrLi2Zn2Au2, with properties calculated at the GGA-PBE level.

Cell lengths 4.548, 4.548, 8.304 Å; angles 105.32, 105.32, 59.99 degrees
Sites, in units of the cell vectors:
Sr 0.000 0.000 0.000
Li 0.135 0.135 0.411
Li 0.865 0.865 0.589
Zn 0.436 0.436 0.314
Zn 0.564 0.564 0.686
Au 0.247 0.247 0.735
Au 0.753 0.753 0.265

* symmetry: C2/m (12)
* density of states at the Fermi level: 2.9 states/eV/cell
* E: -18.0 eV/cell
* spin magnetization: 0.0 Bohr magnetons per cell
* formation enthalpy at 0 K: -0.486 eV per atom
* V: 142 Å³/cell

=====

(9)
Below is an optimized crystal structure of AcNdHo6, with properties calculated at the GGA-PBE level.

Cell lengths 5.091, 5.091, 10.199 Å; angles 90.00, 90.00, 90.00 degrees
Sites, in units of the cell vectors:
Ac 0.000 0.000 0.000
Nd 0.000 0.000 0.500
Ho 0.000 0.500 0.256
Ho 0.000 0.500 0.744
Ho 0.500 0.000 0.256
Ho 0.500 0.000 0.744
Ho 0.500 0.500 0.000
Ho 0.500 0.500 0.500

* symmetry: P4/mmm (123)
* density of states at the Fermi level: 11.7 states/eV/cell
* E: -36.0 eV/cell
* distance to the lowest polymorph of the same formula: 0.0 meV/atom
* spin magnetization: 0.0 Bohr magnetons per cell
* formation enthalpy at 0 K: 0.044 eV per atom
* V: 264 Å³/cell

=====

(10)
Below is an optimized crystal structure of SrIrRh2, with properties calculated at the GGA-PBE level.

Cell lengths 2.988, 2.988, 8.084 Å; angles 90.00, 90.00, 90.00 degrees
Sites, in units of the cell vectors:
Sr 0.000 0.000 0.000
Ir 0.000 0.000 0.500
Rh 0.500 0.500 0.297
Rh 0.500 0.500 0.703

* symmetry: P4/mmm (123)
* density of states at the Fermi level: 4.2 states/eV/cell
* E: -24.4 eV/cell
* distance to the lowest polymorph of the same formula: 355.9 meV/atom
* spin magnetization: 0.0 Bohr magnetons per cell
* formation enthalpy at 0 K: 0.221 eV per atom
* V: 72 Å³/cell

=====

(11)
Below is an optimized crystal structure of ErSc3Ni8, with properties calculated at the GGA-PBE level.

Cell lengths 8.550, 8.550, 8.550 Å; angles 33.45, 33.45, 33.45 degrees
Sites, in units of the cell vectors:
Er 0.000 0.000 0.000
Sc 0.379 0.379 0.379
Sc 0.502 0.502 0.502
Sc 0.874 0.874 0.874
Ni 0.188 0.188 0.188
Ni 0.437 0.437 0.937
Ni 0.437 0.937 0.437
Ni 0.440 0.939 0.939
Ni 0.689 0.689 0.689
Ni 0.937 0.437 0.437
Ni 0.939 0.440 0.939
Ni 0.939 0.939 0.440

* symmetry: R3m (160)
* density of states at the Fermi level: 8.6 states/eV/cell
* E: -75.9 eV/cell
* distance to the lowest polymorph of the same formula: 0.0 meV/atom
* spin magnetization: 0.0 Bohr magnetons per cell
* formation enthalpy at 0 K: -0.509 eV per atom
* V: 169 Å³/cell

=====

(12)
Below is an optimized crystal structure of CeTe, with properties calculated at the GGA-PBE level.

Cell lengths 4.486, 4.486, 4.486 Å; angles 60.00, 60.00, 60.00 degrees
Sites, in units of the cell vectors:
Ce 0.000 0.000 0.000
Te 0.500 0.500 0.500

* raw formation energy: -1.360 eV/atom
* symmetry: Fm-3m (225)
* density of states at the Fermi level: 7.8 states/eV/cell
* E: -11.8 eV/cell
* spin magnetization: 1.1 Bohr magnetons per cell
* V: 64 Å³/cell

=====

Which formula does entry 11 have? ErSc3Ni8